Ho2PuTe3 | PBE | optimized geometry

abc: 4.3906 6.1059 7.9362
angles: 112.62 90.00 90.00
Element x y z (fractional)
Te 0.0000 0.5000 0.0000
Te 0.5000 0.8466 0.6931
Te 0.5000 0.1534 0.3069
Pu 0.0000 0.0000 0.0000
Ho 0.5000 0.3591 0.7182
Ho 0.5000 0.6409 0.2818

Calculated values
* crystal system: orthorhombic
* spin magnetization: 6.05 μB per cell
* symmetry: Cmmm (65)
* total DFT energy (no corrections): -6.540 eV/atom
* ΔE_f (raw): -1.054 eV/atom
* ρ: 8.09 g/cm³